Record 1
An optimized crystal structure of Li2CuIrF6. Source: the Alexandria database, functional PBE-GGA. Values from VASP.

Geometry as Quantum ESPRESSO input:
```
&SYSTEM
  ibrav = 0, nat = 10, ntyp = 4
/
ATOMIC_SPECIES
Li 6.94 Li.upf
Cu 63.55 Cu.upf
Ir 192.22 Ir.upf
F 19.00 F.upf
CELL_PARAMETERS angstrom
0.000 4.118 4.118
4.118 0.000 4.118
4.118 4.118 0.000
ATOMIC_POSITIONS angstrom
Li 2.059 2.059 2.059
Li 6.176 6.176 6.176
Cu 4.118 4.118 4.118
Ir 0.000 0.000 0.000
F 2.053 4.118 4.118
F 4.118 6.182 4.118
F 6.182 4.118 4.118
F 4.118 4.118 2.053
F 4.118 4.118 6.182
F 4.118 2.053 4.118
```

Symmetry: Fm-3m, No. 225

Record 2
An optimized crystal structure of NaFeS2. Source: the Alexandria database, functional PBE-GGA. Values from VASP.

Geometry as Quantum ESPRESSO input:
```
&SYSTEM
  ibrav = 0, nat = 16, ntyp = 3
/
ATOMIC_SPECIES
Na 22.99 Na.upf
Fe 55.84 Fe.upf
S 32.06 S.upf
CELL_PARAMETERS angstrom
5.924 0.000 0.000
0.000 5.966 0.000
0.000 0.000 9.175
ATOMIC_POSITIONS angstrom
Na 5.611 5.903 1.153
Na 2.648 0.062 8.021
Na 2.648 3.045 5.741
Na 5.611 2.920 3.434
Fe 0.080 3.413 8.036
Fe 3.042 5.536 3.449
Fe 3.042 2.553 1.138
Fe 0.080 0.430 5.726
S 2.133 3.165 8.500
S 5.095 2.801 0.675
S 5.095 5.783 3.913
S 2.133 0.182 5.262
S 2.561 3.534 2.964
S 2.561 0.551 1.624
S 5.523 5.414 7.551
S 5.523 2.432 6.211
```

Symmetry: Pna2_1, No. 33

Number 1: ΔE_f (raw) -1.6274 eV per atom. Number 2: ΔE_f (raw) -0.5763 eV per atom.